1.
Material: Pr6Y5In
Method: DFT, GGA-PBE
State: relaxed

The value obtained for the total magnetic moment is 0.0 μB/f.u. For the energy, the calculation gives -64.43 eV/f.u. The density is 5.86 Mg/m³. Its density of states at the Fermi level is 16.66 states/eV/f.u. Its space group is Immm.

POSCAR file:
```
Pr6Y5In
1.0
-2.543 5.075 7.715
2.543 -5.075 7.715
2.543 5.075 -7.715
Pr Y In
6 5 1
Direct
0.080 0.334 0.746 Pr
0.246 0.000 0.246 Pr
0.411 0.666 0.746 Pr
0.589 0.334 0.254 Pr
0.754 0.000 0.754 Pr
0.920 0.666 0.254 Pr
0.164 0.164 0.000 Y
0.335 0.835 0.500 Y
0.500 0.500 0.000 Y
0.665 0.165 0.500 Y
0.836 0.836 0.000 Y
0.000 0.500 0.500 In
```

=====

2.
Material: Nb2CdTeRh
Method: DFT, GGA-PBE
State: relaxed

The value obtained for the total magnetic moment is 1.8 μB/f.u. For the energy, the calculation gives -23.68 eV/f.u. The density is 7.08 Mg/m³. Its density of states at the Fermi level is 6.54 states/eV/f.u. Its space group is P4/mmm. As for the uncorrected formation energy: 1.574 eV per atom.

POSCAR file:
```
Nb2CdTeRh
1.0
5.066 0.000 0.000
0.000 5.066 0.000
0.000 0.000 4.834
Nb Cd Te Rh
2 1 1 1
Direct
0.000 0.500 0.000 Nb
0.500 0.000 0.000 Nb
0.000 0.000 0.000 Cd
0.500 0.500 0.500 Te
0.000 0.000 0.500 Rh
```

=====

3.
Material: CaMn3Zn
Method: DFT, GGA-PBE
State: relaxed

The value obtained for the total magnetic moment is 11.3 μB/f.u. For the energy, the calculation gives -21.78 eV/f.u. The density is 3.90 Mg/m³. Its density of states at the Fermi level is 4.89 states/eV/f.u. Its space group is Pm-3m. As for the energy above the most stable polymorph in this dataset: 1103 meV per atom.

POSCAR file:
```
CaMn3Zn
1.0
4.866 0.000 0.000
0.000 4.866 0.000
0.000 0.000 4.866
Ca Mn Zn
1 3 1
Direct
0.000 0.000 0.000 Ca
0.000 0.000 0.500 Mn
0.000 0.500 0.000 Mn
0.500 0.000 0.000 Mn
0.500 0.500 0.500 Zn
```

=====

4.
Material: CeHfPa2
Method: DFT, GGA-PBE
State: relaxed

The value obtained for the total magnetic moment is 0.0 μB/f.u. For the energy, the calculation gives -34.30 eV/f.u. The density is 12.98 Mg/m³. Its density of states at the Fermi level is 8.03 states/eV/f.u. Its space group is P4/mmm. As for the energy above the most stable polymorph in this dataset: 85 meV per atom.

POSCAR file:
```
CeHfPa2
1.0
4.621 0.000 0.000
0.000 4.621 0.000
0.000 0.000 4.679
Ce Hf Pa
1 1 2
Direct
0.000 0.000 0.000 Ce
0.500 0.500 0.000 Hf
0.000 0.500 0.500 Pa
0.500 0.000 0.500 Pa
```

=====

5.
Material: ZrTe2Se
Method: DFT, GGA-PBE
State: relaxed

The value obtained for the total magnetic moment is 0.0 μB/f.u. For the energy, the calculation gives -20.88 eV/f.u. The density is 5.79 Mg/m³. Its density of states at the Fermi level is 0.77 states/eV/f.u. Its space group is P2/m. As for the uncorrected formation energy: -0.640 eV per atom.

POSCAR file:
```
ZrTe2Se
1.0
5.233 0.000 0.000
0.000 4.136 0.000
-2.595 0.000 5.639
Zr Te Se
1 2 1
Direct
0.000 0.000 0.000 Zr
0.188 0.500 0.377 Te
0.812 0.500 0.623 Te
0.500 0.000 0.000 Se
```

=====

6.
Material: ScCoSb
Method: DFT, GGA-PBE
State: relaxed

The value obtained for the total magnetic moment is 0.4 μB/f.u. For the energy, the calculation gives -18.11 eV/f.u. The density is 6.79 Mg/m³. Its density of states at the Fermi level is 3.20 states/eV/f.u. Its space group is Imm2. As for the uncorrected formation energy: -0.184 eV per atom.

POSCAR file:
```
ScCoSb
1.0
3.369 0.000 0.000
0.000 3.874 0.000
0.000 0.000 8.450
Sc Co Sb
2 2 2
Direct
0.000 0.000 0.000 Sc
0.500 0.500 0.500 Sc
0.000 0.000 0.648 Co
0.500 0.500 0.148 Co
0.000 0.000 0.326 Sb
0.500 0.500 0.826 Sb
```